i | # SbAsI2Cl, relaxed, DFT PBEsol
# density of states at the Fermi level = 3.47 states/eV/f.u.
# calculated density = 4.91 g/cm³
data_SbAsI2Cl
_chemical_formula_sum 'Sb1 As1 I2 Cl1'
_symmetry_space_group_name_H-M 'P 4/m m m'
_symmetry_Int_Tables_number 123
_symmetry_space_group_name_Hall '-P 4 2'
_cell_length_a 5.445
_cell_length_b 5.445
_cell_length_c 5.544
_cell_angle_alpha 90.00
_cell_angle_beta 90.00
_cell_angle_gamma 90.00
loop_
_atom_site_label
_atom_site_type_symbol
_atom_site_fract_x
_atom_site_fract_y
_atom_site_fract_z
Sb1 Sb 0.000 0.000 0.000
As1 As 0.000 0.000 0.500
I1 I 0.000 0.500 0.500
Cl1 Cl 0.500 0.500 0.000

=====

ii | # SbAsI2Cl, relaxed, DFT PBEsol
# density of states at the Fermi level = 4.60 states/eV/f.u.
# calculated density = 4.96 g/cm³
data_SbAsI2Cl
_chemical_formula_sum 'Sb1 As1 I2 Cl1'
_symmetry_space_group_name_H-M 'P 4/m m m'
_symmetry_Int_Tables_number 123
_symmetry_space_group_name_Hall '-P 4 2'
_cell_length_a 5.519
_cell_length_b 5.519
_cell_length_c 5.341
_cell_angle_alpha 90.00
_cell_angle_beta 90.00
_cell_angle_gamma 90.00
loop_
_atom_site_label
_atom_site_type_symbol
_atom_site_fract_x
_atom_site_fract_y
_atom_site_fract_z
Sb1 Sb 0.000 0.000 0.000
As1 As 0.500 0.500 0.000
I1 I 0.000 0.500 0.500
Cl1 Cl 0.000 0.000 0.500

=====

i is preferred energetically. Next in line: 595 meV per atom higher.

=====

i | # LaAsCl2, relaxed, DFT PBEsol
# calculated density = 4.58 g/cm³
data_LaAsCl2
_chemical_formula_sum 'La1 As1 Cl2'
_symmetry_space_group_name_H-M 'P 1 m 1'
_symmetry_Int_Tables_number 6
_symmetry_space_group_name_Hall 'P -2y'
_cell_length_a 4.438
_cell_length_b 4.429
_cell_length_c 5.305
_cell_angle_alpha 90.00
_cell_angle_beta 98.42
_cell_angle_gamma 90.00
loop_
_atom_site_label
_atom_site_type_symbol
_atom_site_fract_x
_atom_site_fract_y
_atom_site_fract_z
La1 La 0.000 0.000 0.000
As1 As 0.537 0.500 0.102
Cl1 Cl 0.197 0.000 0.518
Cl2 Cl 0.713 0.500 0.706

=====

ii | # LaAsCl2, relaxed, DFT PBEsol
# calculated density = 4.97 g/cm³
data_LaAsCl2
_chemical_formula_sum 'La2 As2 Cl4'
_symmetry_space_group_name_H-M 'C 1 2/m 1'
_symmetry_Int_Tables_number 12
_symmetry_space_group_name_Hall '-C 2y'
_cell_length_a 9.833
_cell_length_b 4.113
_cell_length_c 4.739
_cell_angle_alpha 90.00
_cell_angle_beta 96.47
_cell_angle_gamma 90.00
loop_
_atom_site_label
_atom_site_type_symbol
_atom_site_fract_x
_atom_site_fract_y
_atom_site_fract_z
La1 La 0.000 0.000 0.000
As1 As 0.000 0.500 0.500
Cl1 Cl 0.201 0.500 0.222

=====

ii is preferred energetically. Next in line: 14 meV per atom higher.